1.
Nd3YTm2: relaxed, PBE.

Geometry as CIF:
```
data_Nd3YTm2
_chemical_formula_sum 'Nd6 Y2 Tm4'
_cell_length_a 9.863
_cell_length_b 3.486
_cell_length_c 12.294
_cell_angle_alpha 90.00
_cell_angle_beta 107.17
_cell_angle_gamma 90.00
_space_group_name_H-M_alt 'P 1'
_space_group_IT_number 1
loop_
_space_group_symop_operation_xyz
'x,y,z'
loop_
_atom_site_label
_atom_site_fract_x
_atom_site_fract_y
_atom_site_fract_z
_atom_site_occupancy
Nd1 0.075 0.250 0.393 1
Nd2 0.121 0.750 0.134 1
Nd3 0.198 0.750 0.876 1
Nd4 0.802 0.250 0.124 1
Nd5 0.879 0.250 0.866 1
Nd6 0.925 0.750 0.607 1
Y1 0.309 0.750 0.635 1
Y2 0.691 0.250 0.365 1
Tm1 0.397 0.750 0.385 1
Tm2 0.484 0.750 0.122 1
Tm3 0.516 0.250 0.878 1
Tm4 0.603 0.250 0.615 1
```

Values from the calculation:
- energy above the lowest structure with this stoichiometry (meV/atom) = 0
- formation enthalpy at 0 K (eV/atom) = 0.1508
- N(E_F) (states/eV/cell) = 20.14
- volume (Å³ per atom) = 33.7
- energy (eV per atom) = -4.801

2.
Nd6YTm8: relaxed, PBE.

Geometry as CIF:
```
data_Nd6YTm8
_chemical_formula_sum 'Nd6 Y1 Tm8'
_cell_length_a 8.703
_cell_length_b 8.703
_cell_length_c 8.703
_cell_angle_alpha 62.58
_cell_angle_beta 62.58
_cell_angle_gamma 62.58
_space_group_name_H-M_alt 'P 1'
_space_group_IT_number 1
loop_
_space_group_symop_operation_xyz
'x,y,z'
loop_
_atom_site_label
_atom_site_fract_x
_atom_site_fract_y
_atom_site_fract_z
_atom_site_occupancy
Nd1 0.037 0.726 0.603 1
Nd2 0.274 0.397 0.963 1
Nd3 0.397 0.963 0.274 1
Nd4 0.603 0.037 0.726 1
Nd5 0.726 0.603 0.037 1
Nd6 0.963 0.274 0.397 1
Y1 0.500 0.500 0.500 1
Tm1 0.077 0.077 0.077 1
Tm2 0.216 0.250 0.612 1
Tm3 0.250 0.612 0.216 1
Tm4 0.388 0.784 0.750 1
Tm5 0.612 0.216 0.250 1
Tm6 0.750 0.388 0.784 1
Tm7 0.784 0.750 0.388 1
Tm8 0.923 0.923 0.923 1
```

Values from the calculation:
- formation enthalpy at 0 K (eV/atom) = 0.1254
- N(E_F) (states/eV/cell) = 22.32
- volume (Å³ per atom) = 32.9
- energy (eV per atom) = -4.598

3.
Nd3Y3Tm5: relaxed, PBE.

Geometry as CIF:
```
data_Nd3Y3Tm5
_chemical_formula_sum 'Nd3 Y3 Tm5'
_cell_length_a 9.988
_cell_length_b 9.988
_cell_length_c 22.704
_cell_angle_alpha 90.00
_cell_angle_beta 90.00
_cell_angle_gamma 120.00
_space_group_name_H-M_alt 'P 1'
_space_group_IT_number 1
loop_
_space_group_symop_operation_xyz
'x,y,z'
loop_
_atom_site_label
_atom_site_fract_x
_atom_site_fract_y
_atom_site_fract_z
_atom_site_occupancy
Nd1 0.000 0.290 0.000 1
Nd2 0.290 0.000 0.000 1
Nd3 0.710 0.710 0.000 1
Y1 0.000 0.816 0.500 1
Y2 0.184 0.184 0.500 1
Y3 0.816 0.000 0.500 1
Tm1 0.000 0.625 0.000 1
Tm2 0.333 0.667 0.000 1
Tm3 0.375 0.375 0.000 1
Tm4 0.625 0.000 0.000 1
Tm5 0.667 0.333 0.000 1
```

Values from the calculation:
- formation enthalpy at 0 K (eV/atom) = 1.9211
- N(E_F) (states/eV/cell) = 16.90
- volume (Å³ per atom) = 178.3
- energy (eV per atom) = -3.175

4.
Nd5Y2Tm4: relaxed, PBE.

Geometry as CIF:
```
data_Nd5Y2Tm4
_chemical_formula_sum 'Nd5 Y2 Tm4'
_cell_length_a 12.795
_cell_length_b 12.795
_cell_length_c 12.795
_cell_angle_alpha 164.16
_cell_angle_beta 138.53
_cell_angle_gamma 44.66
_space_group_name_H-M_alt 'P 1'
_space_group_IT_number 1
loop_
_space_group_symop_operation_xyz
'x,y,z'
loop_
_atom_site_label
_atom_site_fract_x
_atom_site_fract_y
_atom_site_fract_z
_atom_site_occupancy
Nd1 0.000 0.000 0.000 1
Nd2 0.055 0.356 0.699 1
Nd3 0.342 0.644 0.699 1
Nd4 0.658 0.356 0.301 1
Nd5 0.945 0.644 0.301 1
Y1 0.269 0.769 0.500 1
Y2 0.731 0.231 0.500 1
Tm1 0.317 0.500 0.817 1
Tm2 0.404 0.904 0.500 1
Tm3 0.596 0.096 0.500 1
Tm4 0.683 0.500 0.183 1
```

Values from the calculation:
- energy above the lowest structure with this stoichiometry (meV/atom) = 103
- formation enthalpy at 0 K (eV/atom) = 0.1844
- N(E_F) (states/eV/cell) = 17.79
- volume (Å³ per atom) = 34.4
- energy (eV per atom) = -4.784